Compound: Tb3CeAl8
Source: Alexandria
Functional: PBE
Structure: optimized geometry

POSCAR file:
```
Tb3CeAl8
1.0
-0.370 -0.818 5.514
-0.954 -5.126 2.005
8.558 -3.509 2.883
Tb Ce Al
3 1 8
Direct
0.375 0.375 0.875 Tb
0.999 0.999 0.002 Tb
0.501 0.501 0.498 Tb
0.875 0.875 0.375 Ce
0.939 0.438 0.186 Al
0.438 0.937 0.689 Al
0.438 0.438 0.186 Al
0.937 0.937 0.689 Al
0.187 0.187 0.438 Al
0.688 0.688 0.936 Al
0.438 0.939 0.186 Al
0.937 0.438 0.689 Al
```

Formation enthalpy at 0 K ... -0.50 eV per atom
Energy above the lowest structure with this stoichiometry ... 0.000 eV per atom